The following is a PBE calculation of an optimized crystal structure of BeCrFe, from the Alexandria database.

Structure (POSCAR):
```
BeCrFe
1.0
-0.6147 1.7820 -3.3417
-2.8822 -1.8173 1.7636
-0.5476 2.0024 1.1685
Be Cr Fe
1 1 1
Direct
0.0000 0.0000 0.9745 Be
0.6667 0.3333 0.3716 Cr
0.3333 0.6667 0.6539 Fe
```

Calculated values
Relative energy among the computed polymorphs ... 21.3 meV/atom
Formation energy ... -5 kJ/mol of atoms
N(E_F) ... 1.87 states/eV per cell
Size of the total moment ... 1.03 μB/cell
DFT total energy ... -7.32 eV per atom
Calculated volume ... 10.1 Å³ per atom

The following is a PBE calculation of an optimized crystal structure of BeCrFe, from the Alexandria database.

Structure (POSCAR):
```
BeCrFe
1.0
3.6717 0.0000 0.0000
1.8358 3.1798 0.0000
1.8358 1.0599 2.9979
Cr Be Fe
1 1 1
Direct
0.5000 0.5000 0.5000 Cr
0.0000 0.0000 0.0000 Be
0.7500 0.7500 0.7500 Fe
```

Calculated values
Relative energy among the computed polymorphs ... 543.5 meV/atom
Formation energy ... 46 kJ/mol of atoms
N(E_F) ... 4.52 states/eV per cell
Size of the total moment ... 0.00 μB/cell
DFT total energy ... -6.80 eV per atom
Calculated volume ... 11.7 Å³ per atom

The following is a PBE calculation of an optimized crystal structure of Be2CrFe2, from the Alexandria database.

Structure (POSCAR):
```
Be2CrFe2
1.0
-1.2237 5.4851 1.9264
-0.5802 -2.0741 5.5369
2.5975 0.4276 0.4324
Cr Be Fe
2 4 4
Direct
0.0000 0.0000 0.0000 Cr
0.5000 0.5000 0.0000 Cr
0.8773 0.6227 0.0000 Be
0.1227 0.3773 0.0000 Be
0.3773 0.8773 0.0000 Be
0.6227 0.1227 0.0000 Be
0.8271 0.3271 0.5000 Fe
0.3271 0.1729 0.5000 Fe
0.1729 0.6729 0.5000 Fe
0.6729 0.8271 0.5000 Fe
```

Calculated values
Relative energy among the computed polymorphs ... 0.0 meV/atom
Formation energy ... -3 kJ/mol of atoms
N(E_F) ... 12.20 states/eV per cell
Size of the total moment ... 3.77 μB/cell
DFT total energy ... -6.83 eV per atom
Calculated volume ... 9.4 Å³ per atom

The following is a PBE calculation of an optimized crystal structure of La2BeCrFe, from the Alexandria database.

Structure (POSCAR):
```
La2BeCrFe
1.0
-0.0155 -3.6918 3.8619
4.0755 1.0434 1.0138
-1.7961 3.6408 3.4731
Cr La Fe Be
1 2 1 1
Direct
0.0000 0.5000 0.0000 Cr
0.5000 0.0000 0.0000 La
0.0000 0.0000 0.5000 La
0.0000 0.0000 0.0000 Fe
0.5000 0.5000 0.5000 Be
```

Calculated values
Formation energy ... 55 kJ/mol of atoms
N(E_F) ... 4.20 states/eV per cell
Size of the total moment ... 2.69 μB/cell
DFT total energy ... -5.77 eV per atom
Calculated volume ... 24.7 Å³ per atom

The following is a PBE calculation of an optimized crystal structure of BeCrFeMo, from the Alexandria database.

Structure (POSCAR):
```
BeCrFeMo
1.0
4.0647 0.0000 0.0000
2.0323 3.5201 0.0000
2.0323 1.1734 3.3188
Fe Cr Be Mo
1 1 1 1
Direct
0.2500 0.2500 0.2500 Fe
0.7500 0.7500 0.7500 Cr
0.0000 0.0000 0.0000 Be
0.5000 0.5000 0.5000 Mo
```

Calculated values
Formation energy ... 8 kJ/mol of atoms
N(E_F) ... 2.84 states/eV per cell
Size of the total moment ... 1.96 μB/cell
DFT total energy ... -8.07 eV per atom
Calculated volume ... 11.9 Å³ per atom

The following is a PBE calculation of an optimized crystal structure of NaBeCr2Fe, from the Alexandria database.

Structure (POSCAR):
```
NaBeCr2Fe
1.0
4.1124 0.0000 0.0000
0.0000 4.1576 0.0000
0.0000 0.0000 4.1124
Be Cr Fe Na
1 2 1 1
Direct
0.0000 0.0000 0.0000 Be
0.0000 0.0000 0.5000 Cr
0.5000 0.0000 0.0000 Cr
0.0000 0.5000 0.0000 Fe
0.5000 0.5000 0.5000 Na
```

Calculated values
Formation energy ... 119 kJ/mol of atoms
N(E_F) ... 8.20 states/eV per cell
Size of the total moment ... 2.27 μB/cell
DFT total energy ... -5.32 eV per atom
Calculated volume ... 14.1 Å³ per atom

The following is a PBE calculation of an optimized crystal structure of BeNbCrFe2, from the Alexandria database.

Structure (POSCAR):
```
BeNbCrFe2
1.0
4.0767 0.0000 0.0000
0.0000 4.0766 0.0000
0.0000 0.0000 4.0767
Be Fe Nb Cr
1 2 1 1
Direct
0.0000 0.5000 0.0000 Be
0.0000 0.0000 0.5000 Fe
0.5000 0.0000 0.0000 Fe
0.5000 0.5000 0.5000 Nb
0.0000 0.0000 0.0000 Cr
```

Calculated values
Formation energy ... 90 kJ/mol of atoms
N(E_F) ... 5.62 states/eV per cell
Size of the total moment ... 0.01 μB/cell
DFT total energy ... -7.13 eV per atom
Calculated volume ... 13.6 Å³ per atom

The following is a PBE calculation of an optimized crystal structure of Be2Nb2CrFe5, from the Alexandria database.

Structure (POSCAR):
```
Be2Nb2CrFe5
1.0
-0.6594 1.8473 -2.2030
-7.3398 -4.5037 -1.5797
-4.3530 5.1287 5.6035
Fe Cr Be Nb
10 2 4 4
Direct
0.5000 0.7935 0.9335 Fe
0.5000 0.4335 0.2935 Fe
0.5000 0.5000 0.0000 Fe
0.5000 0.2935 0.5665 Fe
0.5000 0.7065 0.4335 Fe
0.5000 0.0665 0.7935 Fe
0.5000 0.2065 0.0665 Fe
0.5000 0.9335 0.2065 Fe
0.5000 0.5665 0.7065 Fe
0.5000 0.0000 0.5000 Fe
0.0000 0.5000 0.5000 Cr
0.0000 0.0000 0.0000 Cr
0.0000 0.3779 0.1221 Be
0.0000 0.1221 0.6221 Be
0.0000 0.8779 0.3779 Be
0.0000 0.6221 0.8779 Be
0.0000 0.6744 0.1744 Nb
0.0000 0.3256 0.8256 Nb
0.0000 0.1744 0.3256 Nb
0.0000 0.8256 0.6744 Nb
```

Calculated values
Formation energy ... -12 kJ/mol of atoms
N(E_F) ... 9.71 states/eV per cell
Size of the total moment ... 0.00 μB/cell
DFT total energy ... -8.07 eV per atom
Calculated volume ... 11.3 Å³ per atom